This record from the Open Quantum Materials Database describes a relaxed structure of KIr. The functional is PBE.

Computed properties:
* energy relative to the lowest polymorph listed for this composition: 1.306 eV per atom

Cell and atoms, written as CIF:
```
data_KIr
_chemical_formula_sum 'K4 Ir4'
_cell_length_a 6.751
_cell_length_b 6.751
_cell_length_c 6.751
_cell_angle_alpha 90.00
_cell_angle_beta 90.00
_cell_angle_gamma 90.00
_space_group_name_H-M_alt 'F m -3 m'
_space_group_IT_number 225
_space_group_name_Hall '-F 4 2 3'
loop_
_atom_site_label
_atom_site_type_symbol
_atom_site_fract_x
_atom_site_fract_y
_atom_site_fract_z
_atom_site_occupancy
K1 K 0.000 0.000 0.000 1
Ir1 Ir 0.000 0.000 0.500 1
```

---

This record from the Open Quantum Materials Database describes a relaxed structure of Si2IrPd. The functional is PBE.

Computed properties:
* energy relative to the lowest polymorph listed for this composition: 0.169 eV per atom

Cell and atoms, written as CIF:
```
data_Si2IrPd
_chemical_formula_sum 'Si4 Ir2 Pd2'
_cell_length_a 3.633
_cell_length_b 7.862
_cell_length_c 4.039
_cell_angle_alpha 90.00
_cell_angle_beta 90.00
_cell_angle_gamma 90.00
_space_group_name_H-M_alt 'P m n 21'
_space_group_IT_number 31
loop_
_space_group_symop_operation_xyz
'x,y,z'
'-x+1/2,-y,z+1/2'
'-x,y,z'
'x+1/2,-y,z+1/2'
loop_
_atom_site_label
_atom_site_type_symbol
_atom_site_fract_x
_atom_site_fract_y
_atom_site_fract_z
_atom_site_occupancy
Si1 Si 0.000 0.222 0.000 1
Si2 Si 0.000 0.739 0.001 1
Ir1 Ir 0.000 0.064 0.500 1
Pd1 Pd 0.000 0.565 0.501 1
```

---

This record from the Open Quantum Materials Database describes a relaxed structure of MoPtW. The functional is PBE.

Computed properties:
* DFT formation energy: 576.3 meV/atom
* energy relative to the lowest polymorph listed for this composition: 0.000 eV per atom

Cell and atoms, written as CIF:
```
data_MoPtW
_chemical_formula_sum 'Mo4 Pt4 W4'
_cell_length_a 6.065
_cell_length_b 6.065
_cell_length_c 6.065
_cell_angle_alpha 90.00
_cell_angle_beta 90.00
_cell_angle_gamma 90.00
_space_group_name_H-M_alt 'F -4 3 m'
_space_group_IT_number 216
_space_group_name_Hall 'F -4 2 3'
loop_
_atom_site_label
_atom_site_type_symbol
_atom_site_fract_x
_atom_site_fract_y
_atom_site_fract_z
_atom_site_occupancy
Mo1 Mo 0.000 0.000 0.000 1
Pt1 Pt 0.000 0.000 0.500 1
W1 W 0.250 0.250 0.250 1
```

---

This record from the Open Quantum Materials Database describes a relaxed structure of LuMgGaPt. The functional is PBE.

Computed properties:
* energy relative to the lowest polymorph listed for this composition: 0.166 eV per atom

Cell and atoms, written as CIF:
```
data_LuMgGaPt
_chemical_formula_sum 'Lu4 Mg4 Ga4 Pt4'
_cell_length_a 6.583
_cell_length_b 6.583
_cell_length_c 6.583
_cell_angle_alpha 90.00
_cell_angle_beta 90.00
_cell_angle_gamma 90.00
_space_group_name_H-M_alt 'F -4 3 m'
_space_group_IT_number 216
_space_group_name_Hall 'F -4 2 3'
loop_
_atom_site_label
_atom_site_type_symbol
_atom_site_fract_x
_atom_site_fract_y
_atom_site_fract_z
_atom_site_occupancy
Lu1 Lu 0.000 0.000 0.000 1
Mg1 Mg 0.250 0.250 0.250 1
Ga1 Ga 0.250 0.250 0.750 1
Pt1 Pt 0.000 0.000 0.500 1
```

---

This record from the Open Quantum Materials Database describes a relaxed structure of Lu2BeCo. The functional is PBE.

Computed properties:
* raw total energy: -4.7465 eV/atom

Cell and atoms, written as CIF:
```
data_Lu2BeCo
_chemical_formula_sum 'Lu8 Be4 Co4'
_cell_length_a 6.425
_cell_length_b 6.425
_cell_length_c 6.425
_cell_angle_alpha 90.00
_cell_angle_beta 90.00
_cell_angle_gamma 90.00
_space_group_name_H-M_alt 'F -4 3 m'
_space_group_IT_number 216
_space_group_name_Hall 'F -4 2 3'
loop_
_atom_site_label
_atom_site_type_symbol
_atom_site_fract_x
_atom_site_fract_y
_atom_site_fract_z
_atom_site_occupancy
Lu1 Lu 0.000 0.000 0.000 1
Lu2 Lu 0.250 0.250 0.250 1
Be1 Be 0.000 0.000 0.500 1
Co1 Co 0.250 0.250 0.750 1
```

---

This record from the Open Quantum Materials Database describes a relaxed structure of HfNiBiPt. The functional is PBE.

Computed properties:
* energy relative to the lowest polymorph listed for this composition: 0.000 eV per atom

Cell and atoms, written as CIF:
```
data_HfNiBiPt
_chemical_formula_sum 'Hf4 Ni4 Bi4 Pt4'
_cell_length_a 6.659
_cell_length_b 6.659
_cell_length_c 6.659
_cell_angle_alpha 90.00
_cell_angle_beta 90.00
_cell_angle_gamma 90.00
_space_group_name_H-M_alt 'F -4 3 m'
_space_group_IT_number 216
_space_group_name_Hall 'F -4 2 3'
loop_
_atom_site_label
_atom_site_type_symbol
_atom_site_fract_x
_atom_site_fract_y
_atom_site_fract_z
_atom_site_occupancy
Hf1 Hf 0.000 0.000 0.000 1
Ni1 Ni 0.250 0.250 0.750 1
Bi1 Bi 0.000 0.000 0.500 1
Pt1 Pt 0.250 0.250 0.250 1
```

---

This record from the Open Quantum Materials Database describes a relaxed structure of HoSi2Ni. The functional is PBE.

Computed properties:
* raw total energy: -5.8684 eV/atom

Cell and atoms, written as CIF:
```
data_HoSi2Ni
_chemical_formula_sum 'Ho2 Si4 Ni2'
_cell_length_a 3.902
_cell_length_b 5.987
_cell_length_c 5.452
_cell_angle_alpha 90.00
_cell_angle_beta 90.00
_cell_angle_gamma 90.00
_space_group_name_H-M_alt 'P m n 21'
_space_group_IT_number 31
loop_
_space_group_symop_operation_xyz
'x,y,z'
'-x+1/2,-y,z+1/2'
'-x,y,z'
'x+1/2,-y,z+1/2'
loop_
_atom_site_label
_atom_site_type_symbol
_atom_site_fract_x
_atom_site_fract_y
_atom_site_fract_z
_atom_site_occupancy
Ho1 Ho 0.000 0.092 0.000 1
Si1 Si 0.000 0.273 0.509 1
Si2 Si 0.000 0.633 0.737 1
Ni1 Ni 0.000 0.593 0.224 1
```

---

This record from the Open Quantum Materials Database describes a relaxed structure of Li2YMgNi2Sn2. The functional is PBE.

Computed properties:
* raw total energy: -4.3171 eV/atom

Cell and atoms, written as CIF:
```
data_Li2YMgNi2Sn2
_chemical_formula_sum 'Li2 Y1 Mg1 Ni2 Sn2'
_cell_length_a 4.539
_cell_length_b 4.539
_cell_length_c 6.506
_cell_angle_alpha 90.00
_cell_angle_beta 90.00
_cell_angle_gamma 90.00
_space_group_name_H-M_alt 'P -4 m 2'
_space_group_IT_number 115
loop_
_space_group_symop_operation_xyz
'x,y,z'
'y,-x,-z'
'-x,-y,z'
'-y,x,-z'
'-x,y,z'
'-y,-x,-z'
'x,-y,z'
'y,x,-z'
loop_
_atom_site_label
_atom_site_type_symbol
_atom_site_fract_x
_atom_site_fract_y
_atom_site_fract_z
_atom_site_occupancy
Li1 Li 0.000 0.500 0.225 1
Y1 Y 0.000 0.000 0.500 1
Mg1 Mg 0.500 0.500 0.000 1
Ni1 Ni 0.000 0.500 0.758 1
Sn1 Sn 0.000 0.000 0.000 1
Sn2 Sn 0.500 0.500 0.500 1
```

---

This record from the Open Quantum Materials Database describes a relaxed structure of BaTbAuS3. The functional is PBE.

Computed properties:
* raw total energy: -5.2626 eV/atom

Cell and atoms, written as CIF:
```
data_BaTbAuS3
_chemical_formula_sum 'Ba2 Tb2 Au2 S6'
_cell_length_a 8.079
_cell_length_b 4.096
_cell_length_c 9.649
_cell_angle_alpha 90.00
_cell_angle_beta 106.88
_cell_angle_gamma 90.00
_space_group_name_H-M_alt 'P 1 21/m 1'
_space_group_IT_number 11
loop_
_space_group_symop_operation_xyz
'x,y,z'
'-x,-y,-z'
'-x,y+1/2,-z'
'x,-y+1/2,z'
loop_
_atom_site_label
_atom_site_type_symbol
_atom_site_fract_x
_atom_site_fract_y
_atom_site_fract_z
_atom_site_occupancy
Ba1 Ba 0.237 0.250 0.275 1
Tb1 Tb 0.314 0.750 0.843 1
Au1 Au 0.117 0.250 0.596 1
S1 S 0.080 0.250 0.847 1
S2 S 0.282 0.750 0.546 1
S3 S 0.443 0.750 0.138 1
```

---

This record from the Open Quantum Materials Database describes a relaxed structure of Ta4FeSN2. The functional is PBE.

Computed properties:
* energy relative to the lowest polymorph listed for this composition: 0.000 eV per atom

Cell and atoms, written as CIF:
```
data_Ta4FeSN2
_chemical_formula_sum 'Ta4 Fe1 S1 N2'
_cell_length_a 3.1062
_cell_length_b 3.1062
_cell_length_c 12.5017
_cell_angle_alpha 90.00
_cell_angle_beta 90.00
_cell_angle_gamma 120.00
_space_group_name_H-M_alt 'P -6 m 2'
_space_group_IT_number 187
_space_group_name_Hall 'P -6 2'
loop_
_atom_site_label
_atom_site_type_symbol
_atom_site_fract_x
_atom_site_fract_y
_atom_site_fract_z
_atom_site_occupancy
Ta1 Ta 0.0000 0.0000 0.1466 1
Ta2 Ta 0.6667 0.3333 0.3481 1
Fe1 Fe 0.0000 0.0000 0.5000 1
S1 S 0.6667 0.3333 0.0000 1
N1 N 0.3333 0.6667 0.2500 1
```

---

This record from the Open Quantum Materials Database describes a relaxed structure of YTcPd2. The functional is PBE.

Computed properties:
* DFT formation energy: -94.2 meV/atom

Cell and atoms, written as CIF:
```
data_YTcPd2
_chemical_formula_sum 'Y4 Tc4 Pd8'
_cell_length_a 6.559
_cell_length_b 6.559
_cell_length_c 6.559
_cell_angle_alpha 90.00
_cell_angle_beta 90.00
_cell_angle_gamma 90.00
_space_group_name_H-M_alt 'F -4 3 m'
_space_group_IT_number 216
_space_group_name_Hall 'F -4 2 3'
loop_
_atom_site_label
_atom_site_type_symbol
_atom_site_fract_x
_atom_site_fract_y
_atom_site_fract_z
_atom_site_occupancy
Y1 Y 0.000 0.000 0.000 1
Tc1 Tc 0.250 0.250 0.750 1
Pd1 Pd 0.000 0.000 0.500 1
Pd2 Pd 0.250 0.250 0.250 1
```

---

This record from the Open Quantum Materials Database describes a relaxed structure of PrDy2Mg3Tl2Cd. The functional is PBE.

Computed properties:
* raw total energy: -3.0260 eV/atom

Cell and atoms, written as CIF:
```
data_PrDy2Mg3Tl2Cd
_chemical_formula_sum 'Pr2 Dy4 Mg6 Tl4 Cd2'
_cell_length_a 4.679
_cell_length_b 13.315
_cell_length_c 7.554
_cell_angle_alpha 90.00
_cell_angle_beta 90.00
_cell_angle_gamma 90.00
_space_group_name_H-M_alt 'A m m 2'
_space_group_IT_number 38
loop_
_space_group_symop_operation_xyz
'x,y,z'
'-x,-y,z'
'-x,y,z'
'x,-y,z'
'x,y+1/2,z+1/2'
'-x,-y+1/2,z+1/2'
'-x,y+1/2,z+1/2'
'x,-y+1/2,z+1/2'
loop_
_atom_site_label
_atom_site_type_symbol
_atom_site_fract_x
_atom_site_fract_y
_atom_site_fract_z
_atom_site_occupancy
Pr1 Pr 0.000 0.000 0.000 1
Dy1 Dy 0.000 0.212 0.636 1
Mg1 Mg 0.500 0.000 0.666 1
Mg2 Mg 0.500 0.119 0.307 1
Tl1 Tl 0.500 0.170 0.923 1
Cd1 Cd 0.000 0.000 0.434 1
```

---

Short version: calculated density = 5.0 10.2 14.1 10.8 10.5 14.4 7.3 6.0 6.4 13.3 9.4 7.5 g/cm³, in the order given.